Entry from Alexandria: a geometry-optimized FeTeBr2 structure (PBE).

* theoretical density: 4.182 Mg/m³
* magnetization: 8.30 μB per cell
* formation energy (no corrections): -0.129 eV per atom
* E: -3.867 eV per atom

CIF file:
```
data_FeTeBr2
_space_group_name_H-M_alt 'C 1 m 1'
_space_group_IT_number 8
_cell_length_a 13.823
_cell_length_b 3.183
_cell_length_c 7.034
_cell_angle_alpha 90.00
_cell_angle_beta 118.25
_cell_angle_gamma 90.00
loop_
_space_group_symop_operation_xyz
'x,y,z'
'x,-y,z'
'x+1/2,y+1/2,z'
'x+1/2,-y+1/2,z'
loop_
_atom_site_label
_atom_site_fract_x
_atom_site_fract_y
_atom_site_fract_z
Fe1 0.000 0.000 0.000
Te1 0.350 0.000 0.688
Br1 0.145 0.500 0.006
Br2 0.488 0.000 0.270
```